No. 1
Crystalline Mg11Ag9Hg4 at its relaxed geometry. Source: Alexandria, functional PBE.

The structure in POSCAR format:
```
Mg11Ag9Hg4
1.0
-3.082 -0.104 1.264
3.428 -9.029 7.618
1.706 11.074 5.075
Hg Mg Ag
4 11 9
direct
0.500 0.745 0.566 Hg
0.500 0.566 0.745 Hg
0.500 0.255 0.434 Hg
0.500 0.434 0.255 Hg
0.000 0.594 0.946 Mg
0.000 0.771 0.771 Mg
0.000 0.229 0.229 Mg
0.000 0.648 0.352 Mg
0.000 0.352 0.648 Mg
0.000 0.175 0.825 Mg
0.000 0.825 0.175 Mg
0.000 0.054 0.406 Mg
0.000 0.946 0.594 Mg
0.000 0.000 0.000 Mg
0.000 0.406 0.054 Mg
0.500 0.798 0.974 Ag
0.500 0.026 0.202 Ag
0.500 0.146 0.623 Ag
0.500 0.377 0.854 Ag
0.500 0.974 0.798 Ag
0.500 0.500 0.500 Ag
0.500 0.623 0.146 Ag
0.500 0.854 0.377 Ag
0.500 0.202 0.026 Ag
```

The value obtained for the volume is 19.549 Å³ per atom. For the density, the calculation gives 7.22 Mg/m³. The space group is No. 65. The energy of formation from the pure elements is -19 kJ/mol of atoms. The value obtained for the spin magnetization is 0.0 μB per cell.

---

No. 2
Crystalline PrSm4Y2Sc at its relaxed geometry. Source: Alexandria, functional PBE.

The structure in POSCAR format:
```
PrSm4Y2Sc
1.0
5.063 0.000 0.000
0.000 11.200 -1.605
0.000 2.875 4.157
Y Sm Sc Pr
2 4 1 1
direct
0.500 0.000 0.500 Y
0.000 0.000 0.000 Y
0.000 0.253 0.247 Sm
0.500 0.253 0.748 Sm
0.000 0.747 0.753 Sm
0.500 0.747 0.252 Sm
0.000 0.500 0.500 Sc
0.500 0.500 0.000 Pr
```

The value obtained for the volume is 32.384 Å³ per atom. For the density, the calculation gives 6.19 Mg/m³. The space group is No. 123. The energy of formation from the pure elements is 3 kJ/mol of atoms. The value obtained for the spin magnetization is 0.0 μB per cell.

---

No. 3
Crystalline CdBP2S at its relaxed geometry. Source: Alexandria, functional PBE.

The structure in POSCAR format:
```
CdBP2S
1.0
4.951 0.000 0.000
0.000 4.951 0.000
0.000 0.000 5.073
P S Cd B
2 1 1 1
direct
0.500 0.000 0.000 P
0.000 0.500 0.000 P
0.000 0.000 0.500 S
0.000 0.000 0.000 Cd
0.500 0.500 0.500 B
```

The value obtained for the volume is 24.866 Å³ per atom. The value obtained for the uncorrected formation energy is 2.00 eV/atom. For the density, the calculation gives 2.90 Mg/m³. The space group is No. 123. The value obtained for the spin magnetization is 1.0 μB per cell. The value obtained for the excess energy over the best structure of this formula in the dataset is 1248 meV/atom.

---

No. 4
Crystalline KMnBr4 at its relaxed geometry. Source: Alexandria, functional PBE.

The structure in POSCAR format:
```
KMnBr4
1.0
6.792 -0.515 -1.475
-3.793 7.287 -2.609
0.364 0.207 9.369
Mn K Br
2 2 8
direct
0.309 0.059 0.118 Mn
0.691 0.941 0.882 Mn
0.422 0.672 0.344 K
0.578 0.328 0.656 K
0.622 0.368 0.321 Br
0.551 0.868 0.094 Br
0.198 0.953 0.321 Br
0.449 0.132 0.906 Br
0.802 0.047 0.679 Br
0.043 0.226 0.094 Br
0.378 0.632 0.679 Br
0.957 0.774 0.906 Br
```

The value obtained for the volume is 37.887 Å³ per atom. The value obtained for the uncorrected formation energy is -1.01 eV/atom. For the density, the calculation gives 3.02 Mg/m³. The space group is No. 15. The value obtained for the spin magnetization is 8.0 μB per cell. The value obtained for the excess energy over the best structure of this formula in the dataset is 0 meV/atom.

---

No. 5
Crystalline MgAsCl2 at its relaxed geometry. Source: Alexandria, functional PBE.

The structure in POSCAR format:
```
MgAsCl2
1.0
-6.167 2.746 2.447
-6.501 -2.698 -1.421
6.603 -0.144 2.818
Cl Mg As
2 1 1
direct
0.111 0.111 0.000 Cl
0.389 0.389 0.000 Cl
0.250 0.750 0.500 Mg
0.750 0.250 0.500 As
```

The value obtained for the volume is 29.642 Å³ per atom. The value obtained for the uncorrected formation energy is -0.60 eV/atom. For the density, the calculation gives 2.38 Mg/m³. The space group is No. 71. The value obtained for the spin magnetization is 0.4 μB per cell. The value obtained for the excess energy over the best structure of this formula in the dataset is 289 meV/atom.

---

No. 6
Crystalline PmSmMg5 at its relaxed geometry. Source: Alexandria, functional PBE.

The structure in POSCAR format:
```
PmSmMg5
1.0
-2.250 4.193 -2.317
-2.589 -3.218 -3.310
-5.461 -0.374 4.643
Mg Sm Pm
5 1 1
direct
0.500 0.999 0.239 Mg
0.001 0.500 0.761 Mg
0.000 0.000 0.500 Mg
0.999 0.500 0.239 Mg
0.500 0.001 0.761 Mg
0.000 0.000 0.000 Sm
0.500 0.500 0.500 Pm
```

The value obtained for the volume is 28.726 Å³ per atom. For the density, the calculation gives 3.44 Mg/m³. The space group is No. 12. The energy of formation from the pure elements is 15 kJ/mol of atoms. The value obtained for the spin magnetization is 0.0 μB per cell.

---

No. 7
Crystalline Dy2OsRh at its relaxed geometry. Source: Alexandria, functional PBE.

The structure in POSCAR format:
```
Dy2OsRh
1.0
3.238 0.000 0.000
1.619 2.805 0.000
1.619 0.935 9.435
Os Dy Rh
1 2 1
direct
0.500 0.500 0.500 Os
0.909 0.909 0.274 Dy
0.091 0.091 0.726 Dy
0.000 0.000 0.000 Rh
```

The value obtained for the volume is 21.423 Å³ per atom. For the density, the calculation gives 11.98 Mg/m³. The space group is No. 166. The energy of formation from the pure elements is 26 kJ/mol of atoms. The value obtained for the spin magnetization is 0.0 μB per cell.

---

No. 8
Crystalline Pr2ScNb at its relaxed geometry. Source: Alexandria, functional PBE.

The structure in POSCAR format:
```
Pr2ScNb
1.0
-2.786 -1.694 0.531
-0.651 -1.209 3.005
-6.609 8.889 3.960
Pr Nb Sc
2 1 1
direct
0.915 0.915 0.254 Pr
0.085 0.085 0.746 Pr
0.000 0.000 0.000 Nb
0.500 0.500 0.500 Sc
```

The value obtained for the volume is 27.427 Å³ per atom. For the density, the calculation gives 6.35 Mg/m³. The space group is No. 166. The energy of formation from the pure elements is 56 kJ/mol of atoms. The value obtained for the spin magnetization is 0.0 μB per cell.

---

No. 9
Crystalline PmThAlAu at its relaxed geometry. Source: Alexandria, functional PBE.

The structure in POSCAR format:
```
PmThAlAu
1.0
5.279 0.000 0.000
2.639 4.571 0.000
2.639 1.524 4.310
Al Pm Th Au
1 1 1 1
direct
0.500 0.500 0.500 Al
0.250 0.250 0.250 Pm
0.750 0.750 0.750 Th
0.000 0.000 0.000 Au
```

The value obtained for the volume is 26.001 Å³ per atom. For the density, the calculation gives 9.60 Mg/m³. The space group is No. 216. The energy of formation from the pure elements is -38 kJ/mol of atoms. The value obtained for the spin magnetization is 0.9 μB per cell.

---

No. 10
Crystalline Li2AlMoH6 at its relaxed geometry. Source: Alexandria, functional PBE.

The structure in POSCAR format:
```
Li2AlMoH6
1.0
3.932 0.000 -0.200
0.000 4.240 0.000
-0.333 0.000 9.440
Al H Li Mo
2 12 4 2
direct
0.000 0.500 0.500 Al
0.500 0.000 0.000 Al
0.604 0.001 0.315 H
0.896 0.501 0.185 H
0.278 0.751 0.112 H
0.104 0.499 0.815 H
0.396 0.999 0.685 H
0.277 0.248 0.112 H
0.723 0.752 0.888 H
0.222 0.251 0.388 H
0.777 0.252 0.612 H
0.722 0.249 0.888 H
0.778 0.749 0.612 H
0.223 0.748 0.388 H
0.514 0.501 0.740 Li
0.486 0.499 0.260 Li
0.986 0.001 0.760 Li
0.014 0.999 0.240 Li
0.000 0.500 0.000 Mo
0.500 0.000 0.500 Mo
```

The value obtained for the volume is 7.856 Å³ per atom. For the raw total energy, the calculation gives -0.1443 Ha/atom. For the density, the calculation gives 3.02 Mg/m³. The space group is No. 12. The value obtained for the spin magnetization is 0.4 μB per cell.

---

No. 11
Crystalline Ba4YPb at its relaxed geometry. Source: Alexandria, functional PBE.

The structure in POSCAR format:
```
Ba4YPb
1.0
0.000 5.203 5.203
5.203 0.000 5.203
5.203 5.203 0.000
Ba Y Pb
4 1 1
direct
0.376 0.376 0.873 Ba
0.376 0.376 0.376 Ba
0.376 0.873 0.376 Ba
0.873 0.376 0.376 Ba
0.000 0.000 0.000 Y
0.750 0.750 0.750 Pb
```

The value obtained for the volume is 46.942 Å³ per atom. For the density, the calculation gives 4.98 Mg/m³. The space group is No. 216. The energy of formation from the pure elements is 33 kJ/mol of atoms. The value obtained for the spin magnetization is 2.1 μB per cell.

---

No. 12
Crystalline TlCr3Mo at its relaxed geometry. Source: Alexandria, functional PBE.

The structure in POSCAR format:
```
TlCr3Mo
1.0
4.743 0.000 0.000
0.000 4.743 0.000
0.000 0.000 4.743
Tl Cr Mo
1 3 1
direct
0.500 0.500 0.500 Tl
0.000 0.000 0.500 Cr
0.000 0.500 0.000 Cr
0.500 0.000 0.000 Cr
0.000 0.000 0.000 Mo
```

The value obtained for the volume is 21.339 Å³ per atom. For the density, the calculation gives 7.10 Mg/m³. The space group is No. 221. The energy of formation from the pure elements is 129 kJ/mol of atoms. The value obtained for the spin magnetization is 8.3 μB per cell. The value obtained for the excess energy over the best structure of this formula in the dataset is 0 meV/atom.

---

No. 13
Crystalline Zn3Ni6Sn at its relaxed geometry. Source: Alexandria, functional PBE.

The structure in POSCAR format:
```
Zn3Ni6Sn
1.0
-2.162 -1.888 -2.527
5.981 -0.038 -5.090
2.044 -7.271 3.682
Ni Zn Sn
12 6 2
direct
0.250 0.260 0.509 Ni
0.750 0.947 0.086 Ni
0.250 0.053 0.914 Ni
0.750 0.740 0.491 Ni
0.750 0.544 0.898 Ni
0.250 0.162 0.194 Ni
0.250 0.629 0.701 Ni
0.250 0.456 0.102 Ni
0.750 0.371 0.299 Ni
0.250 0.847 0.291 Ni
0.750 0.153 0.709 Ni
0.750 0.838 0.806 Ni
0.750 0.250 0.011 Zn
0.250 0.346 0.810 Zn
0.250 0.750 0.989 Zn
0.250 0.550 0.397 Zn
0.750 0.654 0.190 Zn
0.750 0.450 0.603 Zn
0.750 0.066 0.377 Sn
0.250 0.934 0.623 Sn
```

The value obtained for the volume is 12.561 Å³ per atom. For the density, the calculation gives 8.82 Mg/m³. The space group is No. 11. The energy of formation from the pure elements is -17 kJ/mol of atoms. The value obtained for the spin magnetization is 0.0 μB per cell.

---

No. 14
Crystalline KCu5F11 at its relaxed geometry. Source: Alexandria, functional PBE.

The structure in POSCAR format:
```
KCu5F11
1.0
-3.645 -3.413 -4.226
5.974 -2.641 -0.883
-2.603 -1.751 5.797
F Cu K
11 5 1
direct
0.341 0.893 0.304 F
0.317 0.587 0.587 F
0.659 0.696 0.107 F
0.948 0.416 0.164 F
0.341 0.304 0.893 F
0.659 0.107 0.696 F
0.052 0.584 0.836 F
0.052 0.836 0.584 F
0.948 0.164 0.416 F
0.683 0.413 0.413 F
0.500 0.000 0.000 F
0.644 0.361 0.048 Cu
0.356 0.639 0.952 Cu
0.644 0.048 0.361 Cu
0.356 0.952 0.639 Cu
0.000 0.500 0.500 Cu
0.000 0.000 0.000 K
```

The value obtained for the volume is 14.417 Å³ per atom. The value obtained for the uncorrected formation energy is -1.59 eV/atom. For the density, the calculation gives 3.83 Mg/m³. The space group is No. 12. The value obtained for the spin magnetization is 5.0 μB per cell.

---

No. 15
Crystalline LiBiAu2 at its relaxed geometry. Source: Alexandria, functional PBE.

The structure in POSCAR format:
```
LiBiAu2
1.0
4.548 0.000 0.000
2.274 3.938 0.000
2.274 1.313 4.651
Bi Au Li
1 2 1
direct
0.000 0.000 0.000 Bi
0.222 0.222 0.333 Au
0.778 0.778 0.667 Au
0.500 0.500 0.500 Li
```

The value obtained for the volume is 20.827 Å³ per atom. For the density, the calculation gives 12.16 Mg/m³. The space group is No. 166. The energy of formation from the pure elements is -26 kJ/mol of atoms. The value obtained for the spin magnetization is 0.0 μB per cell. The value obtained for the excess energy over the best structure of this formula in the dataset is 18 meV/atom.

---

No. 16
Crystalline Y2TlNiPb at its relaxed geometry. Source: Alexandria, functional PBE.

The structure in POSCAR format:
```
Y2TlNiPb
1.0
5.241 0.000 0.000
0.000 5.241 0.000
0.000 0.000 4.929
Y Ni Tl Pb
2 1 1 1
direct
0.500 0.000 0.000 Y
0.000 0.500 0.000 Y
0.000 0.000 0.000 Ni
0.000 0.000 0.500 Tl
0.500 0.500 0.500 Pb
```

The value obtained for the volume is 27.073 Å³ per atom. For the density, the calculation gives 7.95 Mg/m³. The space group is No. 123. The energy of formation from the pure elements is -24 kJ/mol of atoms. The value obtained for the spin magnetization is 0.0 μB per cell.

---

No. 17
Crystalline LiTlOsO4 at its relaxed geometry. Source: Alexandria, functional PBE.

The structure in POSCAR format:
```
LiTlOsO4
1.0
6.090 0.000 0.000
0.000 6.090 0.000
-3.045 -3.045 3.770
O Os Tl Li
4 1 1 1
direct
0.237 0.092 0.664 O
0.908 0.573 0.336 O
0.427 0.572 0.664 O
0.428 0.763 0.336 O
0.250 0.750 0.500 Os
0.000 0.000 0.000 Tl
0.500 0.500 0.000 Li
```

The value obtained for the volume is 19.977 Å³ per atom. The value obtained for the uncorrected formation energy is -1.12 eV/atom. For the density, the calculation gives 5.53 Mg/m³. The space group is No. 82. The value obtained for the spin magnetization is 0.0 μB per cell.

---

No. 18
Crystalline RbSnS at its relaxed geometry. Source: Alexandria, functional PBE.

The structure in POSCAR format:
```
RbSnS
1.0
-4.317 2.092 0.754
1.605 -3.423 3.048
2.225 3.569 2.836
Sn Rb S
1 1 1
direct
0.667 0.333 0.500 Sn
0.000 0.000 0.000 Rb
0.333 0.667 0.500 S
```

The value obtained for the volume is 34.532 Å³ per atom. The value obtained for the uncorrected formation energy is -0.42 eV/atom. For the density, the calculation gives 3.79 Mg/m³. The space group is No. 187. The value obtained for the spin magnetization is 0.0 μB per cell. The value obtained for the excess energy over the best structure of this formula in the dataset is 176 meV/atom.

---

No. 19
Crystalline PmHoPu2Se4 at its relaxed geometry. Source: Alexandria, functional PBE.

The structure in POSCAR format:
```
PmHoPu2Se4
1.0
4.120 0.000 0.000
0.000 7.141 0.125
0.000 -2.496 6.753
Ho Se Pm Pu
1 4 1 2
direct
0.500 0.500 0.000 Ho
0.500 0.256 0.251 Se
0.500 0.744 0.749 Se
0.000 0.257 0.753 Se
0.000 0.743 0.247 Se
0.000 0.000 0.000 Pm
0.500 0.000 0.500 Pu
0.000 0.500 0.500 Pu
```

The value obtained for the volume is 24.996 Å³ per atom. The value obtained for the uncorrected formation energy is -1.68 eV/atom. For the density, the calculation gives 9.25 Mg/m³. The space group is No. 10. The value obtained for the spin magnetization is 11.7 μB per cell.

---

No. 20
Crystalline Sr2NiPb at its relaxed geometry. Source: Alexandria, functional PBE.

The structure in POSCAR format:
```
Sr2NiPb
1.0
-2.653 1.598 2.879
2.440 -1.529 3.097
3.905 6.364 0.066
Sr Ni Pb
2 1 1
direct
0.500 0.500 0.332 Sr
0.000 0.000 0.988 Sr
0.000 0.000 0.420 Ni
0.500 0.500 0.761 Pb
```

The value obtained for the volume is 33.387 Å³ per atom. For the density, the calculation gives 5.48 Mg/m³. The space group is No. 99. The energy of formation from the pure elements is 14 kJ/mol of atoms. The value obtained for the spin magnetization is 0.0 μB per cell.